[1]
Here is SnWN2O at its PBEsol-relaxed geometry from Alexandria via LeMat-Bulk. Energies are from meta-GGA SCAN.

```
SnWN2O
1.0
4.040 0.000 0.000
0.000 4.040 0.000
0.000 0.000 3.889
Sn W N O
1 1 2 1
Cartesian
0.000 0.000 0.000
2.020 2.020 1.945
0.000 2.020 0.000
2.020 0.000 0.000
0.000 0.000 1.945
```

Calculated values
The energy comes out at -1.821 Ry per atom.

---

[2]
Here is Li2MnSiO4 at its PBEsol-relaxed geometry from Alexandria via LeMat-Bulk. Energies are from meta-GGA SCAN.

```
Li2MnSiO4
1.0
4.989 0.000 0.000
0.000 5.410 0.000
-4.975 0.000 6.243
Li Mn Si O
4 2 2 8
Cartesian
0.000 0.841 0.000
-2.487 4.569 3.122
2.502 1.737 1.546
0.014 3.673 4.668
-2.482 1.811 4.711
0.006 3.599 1.589
0.038 0.920 3.118
-2.450 4.490 6.239
-0.526 1.667 1.756
-3.013 3.743 4.878
1.974 0.630 0.026
-0.513 4.779 3.148
-0.458 1.732 4.473
2.029 3.678 1.351
1.684 0.939 3.096
-0.803 4.471 6.217
```

Calculated values
The energy comes out at -0.723 Ry per atom.

---

[3]
Here is Re2SbSe at its PBEsol-relaxed geometry from Alexandria via LeMat-Bulk. Energies are from meta-GGA SCAN.

```
Re2SbSe
1.0
3.086 0.000 0.000
0.000 4.567 0.000
0.000 0.000 4.820
Re Sb Se
2 1 1
Cartesian
0.000 0.000 0.000
1.543 2.284 0.868
0.000 2.284 3.350
1.543 0.000 1.934
```

Calculated values
The energy comes out at -3.634 Ry per atom.

---

[4]
Here is BaOsBr2 at its PBEsol-relaxed geometry from Alexandria via LeMat-Bulk. Energies are from meta-GGA SCAN.

```
BaOsBr2
1.0
2.862 1.652 3.780
-2.862 1.652 3.780
0.000 -3.305 3.780
Ba Os Br
1 1 2
Cartesian
0.000 0.000 0.000
0.000 0.000 5.670
0.000 0.000 3.254
0.000 0.000 8.086
```

Calculated values
The energy comes out at -2.778 Ry per atom.

---

Question: The lowest energy belongs to which entry?
Answer: Re2SbSe